Entry w
Here is a geometry-optimized Ba2Al2Ga structure from Alexandria. Energies are from PBE.

a = 7.3037 Å, b = 7.3037 Å, c = 5.6008 Å
α = 90.00°, β = 90.00°, γ = 90.00°
Last column: nearest neighbours and their distance in Å.
Positions (direct):
Ga 0.0000 0.0000 0.0000  4 Al 2.86
Ga 0.5000 0.5000 0.0000  4 Al 2.86
Al 0.8701 0.6299 0.0000  1 Al 2.68, 2 Ga 2.86
Al 0.6299 0.1299 0.0000  1 Al 2.68, 2 Ga 2.86
Al 0.3701 0.8701 0.0000  1 Al 2.68, 2 Ga 2.86
Al 0.1299 0.3701 0.0000  1 Al 2.68, 2 Ga 2.86
Ba 0.3191 0.1809 0.5000  6 Al 3.41-3.62, 5 Ba 3.74-3.79
Ba 0.6809 0.8191 0.5000  6 Al 3.41-3.62, 5 Ba 3.74-3.79
Ba 0.1809 0.6809 0.5000  6 Al 3.41-3.62, 5 Ba 3.74-3.79
Ba 0.8191 0.3191 0.5000  6 Al 3.41-3.62, 5 Ba 3.74-3.79

Its mass density is 4.43 Mg/m³. The value obtained for the density of states at the Fermi level is 0.86 states/eV/atom.

Entry x
Here is a geometry-optimized Ba2Al2Ga structure from Alexandria. Energies are from PBE.

a = 5.1333 Å, b = 4.4603 Å, c = 7.2309 Å
α = 107.96°, β = 90.00°, γ = 90.00°
Last column: nearest neighbours and their distance in Å.
Positions (direct):
Ba 0.0000 0.9344 0.8687  1 Ba 3.45, 2 Ga 3.53, 8 Al 3.54-3.83
Ba 0.0000 0.6836 0.3672  1 Ba 3.45, 6 Al 3.54-3.80, 4 Ga 3.55
Ga 0.5000 0.1103 0.2207  3 Al 2.65-2.71
Al 0.5000 0.3070 0.6140  1 Ga 2.71, 1 Al 2.75
Al 0.5000 0.5068 0.0136  2 Ga 2.65, 1 Al 2.75

Its mass density is 4.20 Mg/m³. The value obtained for the density of states at the Fermi level is 0.80 states/eV/atom.

Least stable of them? entry w.

Entry w
Here is a geometry-optimized Ba2AlGa3 structure from Alexandria. Energies are from PBE.

a = 6.2026 Å, b = 6.2026 Å, c = 7.9027 Å
α = 50.81°, β = 50.81°, γ = 47.05°
Last column: nearest neighbours and their distance in Å.
Positions (direct):
Ba 0.2511 0.2511 0.1911  9 Ga 3.35-3.74, 3 Al 3.45-3.74
Ba 0.7484 0.7484 0.8089  5 Ga 3.32-3.49, 3 Al 3.35-3.50
Ga 0.5738 0.5738 0.5839  1 Al 2.79, 3 Ga 2.86-2.90
Ga 0.9263 0.9263 0.2358  2 Ga 2.84-2.90, 2 Al 2.85
Ga 0.0764 0.0764 0.7637  3 Ga 2.84-2.86, 1 Al 2.86
Al 0.4240 0.4240 0.4165  4 Ga 2.79-2.86

Its mass density is 5.26 Mg/m³. The value obtained for the density of states at the Fermi level is 0.19 states/eV/atom.

Entry x
Here is a geometry-optimized Ba2AlGa3 structure from Alexandria. Energies are from PBE.

a = 6.8413 Å, b = 6.8413 Å, c = 8.9559 Å
α = 109.10°, β = 109.10°, γ = 98.24°
Last column: nearest neighbours and their distance in Å.
Positions (direct):
Ga 0.8338 0.8338 0.6676  2 Ga 2.58, 1 Al 2.60
Ga 0.1662 0.1662 0.8343  2 Ga 2.57-2.58, 1 Al 2.59
Ga 0.6681 0.6681 0.8343  2 Ga 2.57-2.58, 1 Al 2.59
Ga 0.3319 0.3319 0.1657  2 Ga 2.57-2.58, 1 Al 2.59
Ga 0.8338 0.8338 0.1657  2 Ga 2.57-2.58, 1 Al 2.59
Ga 0.1662 0.1662 0.3324  2 Ga 2.58, 1 Al 2.60
Ba 0.2477 0.7523 0.0000  10 Ga 3.63-3.68, 2 Al 3.67
Ba 0.7500 0.2500 0.5000  4 Al 3.66, 8 Ga 3.66
Ba 0.7523 0.2477 0.0000  10 Ga 3.63-3.68, 2 Al 3.67
Ba 0.2500 0.7500 0.5000  4 Al 3.66, 8 Ga 3.66
Al 0.6665 0.6665 0.3330  3 Ga 2.59-2.60
Al 0.3335 0.3335 0.6670  3 Ga 2.59-2.60

Its mass density is 4.72 Mg/m³. The value obtained for the density of states at the Fermi level is 0.58 states/eV/atom.

Least stable of them? entry w.

Entry w
Here is a geometry-optimized Ba2Al3Ga5 structure from Alexandria. Energies are from PBE.

a = 4.5812 Å, b = 4.5812 Å, c = 11.1150 Å
α = 90.00°, β = 90.00°, γ = 90.00°
Last column: nearest neighbours and their distance in Å.
Positions (direct):
Al 0.0000 0.0000 0.5000  4 Al 2.71
Al 0.0000 0.5000 0.3691  3 Ga 2.67-2.71, 2 Al 2.71
Al 0.5000 0.0000 0.6309  3 Ga 2.67-2.71, 2 Al 2.71
Ba 0.0000 0.5000 0.7536  10 Ga 3.49-3.63, 6 Al 3.51-3.63
Ba 0.5000 0.0000 0.2464  10 Ga 3.49-3.63, 6 Al 3.51-3.63
Ga 0.5000 0.5000 0.5000  4 Al 2.71
Ga 0.0000 0.5000 0.1290  1 Al 2.67, 4 Ga 2.70
Ga 0.5000 0.5000 0.0000  4 Ga 2.70
Ga 0.0000 0.0000 0.0000  4 Ga 2.70
Ga 0.5000 0.0000 0.8710  1 Al 2.67, 4 Ga 2.70

Its mass density is 5.01 Mg/m³. The value obtained for the density of states at the Fermi level is 0.30 states/eV/atom.

Entry x
Here is a geometry-optimized Ba2Al3Ga5 structure from Alexandria. Energies are from PBE.

a = 6.4971 Å, b = 9.0980 Å, c = 9.0980 Å
α = 74.59°, β = 69.08°, γ = 69.08°
Last column: nearest neighbours and their distance in Å.
Positions (direct):
Al 0.7500 0.0000 0.0000  4 Ga 2.70
Al 0.2500 0.0000 0.0000  4 Ga 2.70
Al 0.3717 0.5048 0.7518  5 Ga 2.66-2.72
Al 0.1283 0.2482 0.4952  5 Ga 2.66-2.72
Al 0.6283 0.4952 0.2482  5 Ga 2.66-2.72
Al 0.8717 0.7518 0.5048  5 Ga 2.66-2.72
Ga 0.6205 0.7436 0.0154  3 Al 2.66-2.70, 2 Ga 2.70
Ga 0.9898 0.7602 0.7602  2 Ga 2.70, 2 Al 2.72
Ga 0.0102 0.2398 0.2398  2 Ga 2.70, 2 Al 2.72
Ga 0.1205 0.0154 0.7436  3 Al 2.66-2.70, 2 Ga 2.70
Ga 0.2500 0.5000 0.5000  4 Al 2.69
Ga 0.5102 0.2398 0.2398  2 Ga 2.70, 2 Al 2.72
Ga 0.8795 0.9846 0.2564  3 Al 2.66-2.70, 2 Ga 2.70
Ga 0.3795 0.2564 0.9846  3 Al 2.66-2.70, 2 Ga 2.70
Ga 0.7500 0.5000 0.5000  4 Al 2.69
Ga 0.4898 0.7602 0.7602  2 Ga 2.70, 2 Al 2.72
Ba 0.3741 0.8694 0.3824  10 Ga 3.45-3.59, 6 Al 3.50-3.65
Ba 0.6259 0.1306 0.6176  10 Ga 3.45-3.59, 6 Al 3.50-3.65
Ba 0.1259 0.6176 0.1306  10 Ga 3.45-3.59, 6 Al 3.50-3.65
Ba 0.8741 0.3824 0.8694  10 Ga 3.45-3.59, 6 Al 3.50-3.65

Its mass density is 5.05 Mg/m³. The value obtained for the density of states at the Fermi level is 0.28 states/eV/atom.

Least stable of them? entry w.